Density functional theory data (PBE) for a relaxed structure of BaGaAgAu2.

```
data_BaGaAgAu2
_chemical_formula_sum 'Ba1 Ga1 Ag1 Au2'
_symmetry_space_group_name_H-M 'P 4/m m m'
_symmetry_Int_Tables_number 123
_symmetry_space_group_name_Hall '-P 4 2'
_cell_length_a 5.273
_cell_length_b 5.273
_cell_length_c 5.817
_cell_angle_alpha 90.00
_cell_angle_beta 90.00
_cell_angle_gamma 90.00
loop_
_atom_site_label
_atom_site_type_symbol
_atom_site_fract_x
_atom_site_fract_y
_atom_site_fract_z
_atom_site_occupancy
Ba1 Ba 0.000 0.000 0.000 1
Ga1 Ga 0.500 0.500 0.000 1
Ag1 Ag 0.000 0.000 0.500 1
Au1 Au 0.000 0.500 0.500 1
```

Results
The polymorph energy (0 for the lowest one) is 682 meV per atom. The energy relative to the elements is 0.232 eV/atom. Its magnetization is 0.0 μB per cell. Its total energy is -2.64 eV per atom.

Density functional theory data (PBE) for a relaxed structure of SrMg5Si3.

```
data_SrMg5Si3
_chemical_formula_sum 'Sr4 Mg20 Si12'
_symmetry_space_group_name_H-M 'C m c m'
_symmetry_Int_Tables_number 63
_symmetry_space_group_name_Hall '-C 2c 2'
_cell_length_a 4.398
_cell_length_b 14.578
_cell_length_c 12.844
_cell_angle_alpha 90.00
_cell_angle_beta 90.00
_cell_angle_gamma 90.00
loop_
_atom_site_label
_atom_site_type_symbol
_atom_site_fract_x
_atom_site_fract_y
_atom_site_fract_z
_atom_site_occupancy
Sr1 Sr 0.000 0.142 0.250 1
Mg1 Mg 0.000 0.000 0.000 1
Mg2 Mg 0.000 0.195 0.565 1
Mg3 Mg 0.000 0.448 0.140 1
Si1 Si 0.000 0.096 0.750 1
Si2 Si 0.000 0.377 0.555 1
```

Results
The energy relative to the elements, uncorrected comes out at -190 meV/atom. Its magnetization is 0.0 μB per cell. Its total energy is -3.07 eV per atom.